[1]
Below is a relaxed structure of LaPrThTc, with properties calculated at the GGA-PBE level.

Cell and atoms, written as POSCAR:
```
LaPrThTc
1.0
-3.323 -2.898 1.371
3.706 0.694 2.665
-2.233 6.866 1.323
Th La Pr Tc
1 1 1 1
Direct
0.825 0.277 0.101
0.951 0.841 0.791
0.375 0.052 0.426
0.542 0.636 0.178
```

Calculated values
total magnetic moment	0.00	Bohr magnetons per cell
formation energy from the elements	0.14	eV/atom
space group	No. 160
volume	126.2	Å³/f.u.


[2]
Below is a relaxed structure of La5Pr3Te8, with properties calculated at the GGA-PBE level.

Cell and atoms, written as POSCAR:
```
La5Pr3Te8
1.0
7.924 0.000 4.539
2.662 7.464 4.539
0.036 0.025 9.125
Te La Pr
8 5 3
Direct
0.751 0.250 0.749
0.250 0.751 0.749
0.250 0.250 0.749
0.750 0.750 0.251
0.751 0.751 0.748
0.249 0.249 0.252
0.249 0.750 0.251
0.750 0.249 0.251
0.000 0.000 0.000
0.500 0.500 0.500
0.500 0.500 0.000
0.000 0.500 0.000
0.500 0.000 0.000
0.500 0.000 0.500
0.000 0.500 0.500
0.000 0.000 0.500
```

Calculated values
total magnetic moment	0.00	Bohr magnetons per cell
raw total energy	-5.545	eV per atom
space group	No. 166
volume	537.9	Å³/f.u.


[3]
Below is a relaxed structure of La6PrTe8, with properties calculated at the GGA-PBE level.

Cell and atoms, written as POSCAR:
```
La6PrTe8
1.0
7.908 0.000 4.565
2.636 7.455 4.565
0.000 0.000 9.131
La Te Pr
6 8 1
Direct
0.500 0.500 0.000
0.000 0.500 0.500
0.500 0.000 0.000
0.500 0.000 0.500
0.000 0.500 0.000
0.000 0.000 0.500
0.750 0.750 0.750
0.250 0.250 0.250
0.747 0.253 0.253
0.253 0.747 0.747
0.747 0.253 0.747
0.253 0.253 0.747
0.253 0.747 0.253
0.747 0.747 0.253
0.000 0.000 0.000
```

Calculated values
total magnetic moment	0.00	Bohr magnetons per cell
raw total energy	-5.554	eV per atom
space group	No. 225
volume	538.3	Å³/f.u.


[4]
Below is a relaxed structure of LaPr2Te, with properties calculated at the GGA-PBE level.

Cell and atoms, written as POSCAR:
```
LaPr2Te
1.0
-1.303 -3.652 -1.082
3.712 -0.962 -1.222
1.719 -2.817 7.438
Pr Te La
2 1 1
Direct
0.000 0.000 0.718
0.000 0.000 0.282
0.500 0.500 0.500
0.500 0.500 0.000
```

Calculated values
total magnetic moment	0.00	Bohr magnetons per cell
space group	No. 123
energy relative to the lowest polymorph listed for this composition	87	meV/atom
volume	131.8	Å³/f.u.


[5]
Below is a relaxed structure of La2PrTe3, with properties calculated at the GGA-PBE level.

Cell and atoms, written as POSCAR:
```
La2PrTe3
1.0
-3.148 -0.995 -3.168
1.112 -6.292 0.872
-3.802 3.464 5.994
La Te Pr
2 3 1
Direct
0.834 0.834 0.168
0.166 0.166 0.832
0.500 0.000 0.500
0.166 0.666 0.832
0.834 0.334 0.168
0.500 0.500 0.500
```

Calculated values
total magnetic moment	0.00	Bohr magnetons per cell
raw total energy	-5.556	eV per atom
space group	No. 71
volume	201.8	Å³/f.u.


[6]
Below is a relaxed structure of LaPrTe6, with properties calculated at the GGA-PBE level.

Cell and atoms, written as POSCAR:
```
LaPrTe6
1.0
4.355 0.000 -0.748
0.000 4.419 0.000
0.167 0.000 14.022
Pr Te La
1 6 1
Direct
0.828 0.000 0.656
0.077 0.000 0.155
0.577 0.500 0.155
0.422 0.000 0.844
0.707 0.000 0.414
0.922 0.500 0.844
0.294 0.500 0.587
0.172 0.500 0.345
```

Calculated values
total magnetic moment	0.00	Bohr magnetons per cell
raw total energy	-4.607	eV per atom
space group	No. 38
volume	270.4	Å³/f.u.


[7]
Below is a relaxed structure of La5PrTe8, with properties calculated at the GGA-PBE level.

Cell and atoms, written as POSCAR:
```
La5PrTe8
1.0
-8.221 1.429 -0.704
1.953 -1.058 8.074
4.269 6.523 -3.058
Te La Pr
8 5 1
Direct
0.125 0.749 0.527
0.127 0.752 0.027
0.778 0.251 0.376
0.624 0.403 0.875
0.275 0.248 0.375
0.473 0.597 0.222
0.973 0.100 0.725
0.625 0.900 0.873
0.500 0.000 0.500
0.746 0.621 0.625
0.004 0.379 0.125
0.875 0.879 0.254
0.375 0.121 0.996
0.250 0.500 0.750
```

Calculated values
total magnetic moment	0.00	Bohr magnetons per cell
raw total energy	-5.478	eV per atom
space group	No. 82
volume	452.0	Å³/f.u.


[8]
Below is a relaxed structure of LaPr4Te6, with properties calculated at the GGA-PBE level.

Cell and atoms, written as POSCAR:
```
LaPr4Te6
1.0
-0.819 -0.243 4.373
-6.632 -1.696 -3.607
5.779 -22.266 -0.155
Te Pr La
12 8 2
Direct
0.685 0.369 0.750
0.768 0.536 0.094
0.945 0.890 0.833
0.315 0.631 0.250
0.500 0.000 0.000
0.232 0.464 0.906
0.232 0.464 0.594
0.768 0.536 0.406
0.055 0.110 0.167
0.055 0.110 0.333
0.945 0.890 0.667
0.500 0.000 0.500
0.856 0.713 0.963
0.587 0.174 0.626
0.144 0.287 0.037
0.413 0.826 0.126
0.587 0.174 0.874
0.413 0.826 0.374
0.856 0.713 0.537
0.144 0.287 0.463
0.658 0.316 0.250
0.342 0.684 0.750
```

Calculated values
total magnetic moment	0.00	Bohr magnetons per cell
raw total energy	-5.387	eV per atom
space group	No. 63
volume	379.8	Å³/f.u.


[9]
Below is a relaxed structure of La2Pr2Te7, with properties calculated at the GGA-PBE level.

Cell and atoms, written as POSCAR:
```
La2Pr2Te7
1.0
8.060 -0.004 0.155
0.004 6.936 0.002
-0.348 -0.003 8.054
Te La Pr
7 2 2
Direct
0.500 0.249 0.500
0.000 0.741 0.500
0.500 0.741 0.000
0.000 0.000 0.000
0.000 0.259 0.500
0.500 0.751 0.500
0.500 0.259 0.000
0.264 0.000 0.736
0.736 0.000 0.264
0.272 0.500 0.272
0.728 0.500 0.728
```

Calculated values
total magnetic moment	0.00	Bohr magnetons per cell
raw total energy	-4.912	eV per atom
space group	No. 65
volume	450.6	Å³/f.u.


[10]
Below is a relaxed structure of LaPr2Te4, with properties calculated at the GGA-PBE level.

Cell and atoms, written as POSCAR:
```
LaPr2Te4
1.0
7.929 0.000 4.570
2.725 7.398 4.436
0.068 0.044 9.046
Te La Pr
8 2 4
Direct
0.744 0.255 0.258
0.250 0.249 0.749
0.256 0.242 0.245
0.744 0.758 0.755
0.750 0.751 0.251
0.256 0.745 0.742
0.248 0.751 0.251
0.752 0.249 0.749
0.500 0.500 0.000
0.000 0.500 0.000
0.500 0.000 0.500
0.000 0.000 0.500
0.000 0.000 0.000
0.000 0.500 0.500
```

Calculated values
total magnetic moment	0.00	Bohr magnetons per cell
space group	No. 74
energy relative to the lowest polymorph listed for this composition	0	meV/atom
volume	263.7	Å³/f.u.


[11]
Below is a relaxed structure of La4PrTe5, with properties calculated at the GGA-PBE level.

Cell and atoms, written as POSCAR:
```
La4PrTe5
1.0
-0.646 -4.014 2.086
3.685 -1.689 -2.110
7.774 7.753 12.321
La Te Pr
4 5 1
Direct
0.599 0.599 0.198
0.799 0.799 0.598
0.201 0.201 0.402
0.401 0.401 0.802
0.301 0.301 0.602
0.500 0.500 0.000
0.699 0.699 0.398
0.900 0.900 0.800
0.100 0.100 0.200
0.000 0.000 0.000
```

Calculated values
total magnetic moment	0.00	Bohr magnetons per cell
space group	No. 139
energy relative to the lowest polymorph listed for this composition	3	meV/atom
volume	338.0	Å³/f.u.


[12]
Below is a relaxed structure of LaPr2Te4, with properties calculated at the GGA-PBE level.

Cell and atoms, written as POSCAR:
```
LaPr2Te4
1.0
-3.619 1.884 1.758
-2.249 -6.832 -2.920
3.033 -6.765 13.491
Te Pr La
8 4 2
Direct
0.223 0.445 0.875
0.500 0.000 0.000
0.777 0.555 0.125
0.223 0.445 0.625
0.500 0.000 0.500
0.035 0.070 0.250
0.777 0.555 0.375
0.965 0.930 0.750
0.132 0.264 0.433
0.868 0.736 0.933
0.132 0.264 0.067
0.868 0.736 0.567
0.377 0.755 0.250
0.623 0.245 0.750
```

Calculated values
total magnetic moment	0.00	Bohr magnetons per cell
space group	No. 63
energy relative to the lowest polymorph listed for this composition	27	meV/atom
volume	254.4	Å³/f.u.


[13]
Below is a relaxed structure of LaPr4Te7, with properties calculated at the GGA-PBE level.

Cell and atoms, written as POSCAR:
```
LaPr4Te7
1.0
-3.152 2.358 1.985
-3.647 -5.288 -4.407
2.428 -6.577 11.669
Pr Te La
4 7 1
Direct
0.000 0.000 0.000
0.115 0.229 0.421
0.701 0.402 0.813
0.299 0.599 0.189
0.040 0.080 0.785
0.257 0.514 0.652
0.501 0.001 0.499
0.741 0.482 0.348
0.661 0.323 0.048
0.339 0.678 0.952
0.960 0.921 0.216
0.885 0.770 0.577
```

Calculated values
total magnetic moment	0.00	Bohr magnetons per cell
raw total energy	-5.302	eV per atom
space group	No. 8
volume	434.1	Å³/f.u.


[14]
Below is a relaxed structure of La3Pr4Te8, with properties calculated at the GGA-PBE level.

Cell and atoms, written as POSCAR:
```
La3Pr4Te8
1.0
9.053 -0.125 -0.180
-4.415 7.933 0.156
-4.415 -2.607 7.494
Te La Pr
8 3 4
Direct
0.001 0.746 0.746
0.492 0.747 0.747
0.999 0.254 0.254
0.508 0.253 0.253
0.000 0.746 0.254
0.500 0.249 0.751
0.000 0.254 0.746
0.500 0.751 0.249
0.500 0.000 0.500
0.500 0.500 0.500
0.500 0.500 0.000
0.000 0.000 0.500
0.500 0.000 0.000
0.000 0.500 0.000
0.000 0.000 0.000
```

Calculated values
total magnetic moment	0.00	Bohr magnetons per cell
raw total energy	-5.467	eV per atom
space group	No. 12
volume	529.5	Å³/f.u.


[15]
Below is a relaxed structure of LaPr2Te, with properties calculated at the GGA-PBE level.

Cell and atoms, written as POSCAR:
```
LaPr2Te
1.0
-4.451 1.598 -1.142
-1.991 -3.127 3.382
0.377 3.562 3.514
Pr La Te
2 1 1
Direct
0.000 0.500 0.000
0.000 0.000 0.500
0.500 0.000 0.000
0.500 0.500 0.500
```

Calculated values
total magnetic moment	0.00	Bohr magnetons per cell
space group	No. 123
energy relative to the lowest polymorph listed for this composition	122	meV/atom
volume	122.5	Å³/f.u.


[16]
Below is a relaxed structure of LaPr3Te4, with properties calculated at the GGA-PBE level.

Cell and atoms, written as POSCAR:
```
LaPr3Te4
1.0
-3.304 -1.801 -2.479
5.282 -2.201 -5.440
-0.812 -5.800 5.295
Te La Pr
4 1 3
Direct
0.500 0.251 0.749
0.000 0.252 0.252
0.500 0.749 0.251
0.000 0.748 0.748
0.500 0.000 0.000
0.000 0.500 0.000
0.500 0.500 0.500
0.000 0.000 0.500
```

Calculated values
total magnetic moment	0.00	Bohr magnetons per cell
space group	No. 65
energy relative to the lowest polymorph listed for this composition	0	meV/atom
volume	265.6	Å³/f.u.


[17]
Below is a relaxed structure of La2Pr3Te6, with properties calculated at the GGA-PBE level.

Cell and atoms, written as POSCAR:
```
La2Pr3Te6
1.0
-7.430 -2.357 0.759
-2.338 -3.525 6.573
-4.286 5.824 3.160
Te La Pr
6 2 3
Direct
0.582 0.325 0.254
0.418 0.675 0.746
0.258 0.000 0.253
0.742 0.000 0.747
0.093 0.325 0.746
0.907 0.675 0.254
0.165 0.670 0.500
0.835 0.330 0.500
0.668 0.664 0.000
0.000 0.000 0.000
0.332 0.336 0.000
```

Calculated values
total magnetic moment	0.00	Bohr magnetons per cell
raw total energy	-5.450	eV per atom
space group	No. 12
volume	394.4	Å³/f.u.


[18]
Below is a relaxed structure of La4PrTe5, with properties calculated at the GGA-PBE level.

Cell and atoms, written as POSCAR:
```
La4PrTe5
1.0
5.832 0.000 2.813
2.916 7.224 1.406
-0.223 0.000 7.913
Te La Pr
5 4 1
Direct
0.702 0.200 0.399
0.300 0.800 0.601
0.101 0.601 0.200
0.901 0.399 0.800
0.501 0.000 0.000
0.201 0.199 0.400
0.601 0.600 0.199
0.801 0.801 0.600
0.400 0.400 0.801
0.001 0.000 0.000
```

Calculated values
total magnetic moment	0.00	Bohr magnetons per cell
space group	No. 87
energy relative to the lowest polymorph listed for this composition	0	meV/atom
volume	337.9	Å³/f.u.


[19]
Below is a relaxed structure of LaPr2Te, with properties calculated at the GGA-PBE level.

Cell and atoms, written as POSCAR:
```
LaPr2Te
1.0
4.083 0.000 0.000
2.041 3.536 0.000
2.041 1.179 10.110
La Pr Te
1 2 1
Direct
0.499 0.499 0.502
0.264 0.264 0.209
0.070 0.070 0.790
0.667 0.667 0.999
```

Calculated values
total magnetic moment	0.12	Bohr magnetons per cell
space group	No. 160
energy relative to the lowest polymorph listed for this composition	136	meV/atom
volume	146.0	Å³/f.u.


[20]
Below is a relaxed structure of LaPr2Te, with properties calculated at the GGA-PBE level.

Cell and atoms, written as POSCAR:
```
LaPr2Te
1.0
4.146 0.000 0.000
-2.073 6.242 0.000
0.000 0.000 10.427
Pr Te La
4 2 2
Direct
0.364 0.727 0.536
0.636 0.273 0.036
0.636 0.273 0.464
0.364 0.727 0.964
0.768 0.536 0.750
0.232 0.464 0.250
0.057 0.114 0.750
0.943 0.886 0.250
```

Calculated values
total magnetic moment	0.60	Bohr magnetons per cell
space group	No. 63
energy relative to the lowest polymorph listed for this composition	0	meV/atom
volume	134.9	Å³/f.u.